The following is a DFT calculation (PBE-GGA) of a geometry-optimized Pu3Si2Tc structure.

Output
DOS(E_F)   17.5 states/eV/f.u.
Space group   C2/m, No. 12
DFT total energy   -66.3 eV for the cell shown
Total moment   6.94 μB/cell

abc: 8.418 8.418 4.608
angles: 105.83 105.83 22.69
Element x y z (fractional)
Pu 0.000 0.000 0.000
Pu 0.318 0.318 0.819
Pu 0.682 0.682 0.181
Si 0.123 0.123 0.622
Si 0.877 0.877 0.378
Tc 0.500 0.500 0.500